DFT (GGA-PBE) results for SiAuO2F after structural relaxation.

Properties
crystal system	tetragonal
size of the total moment	0.0	Bohr magnetons per cell
ΔE_f (raw)	0.16	eV/atom
DOS(E_F)	2.51	states/eV/cell

Lattice parameters (Å, degrees): 4.1296 4.1296 4.2530 90.00 90.00 90.00
Closest atoms and distances in Å follow each position.
Positions (direct):
Si 0.0000 0.0000 0.0000  4 F 2.92, 8 O 2.96
Au 0.5000 0.5000 0.5000  4 O 2.06, 2 F 2.13
O 0.0000 0.5000 0.5000  2 Au 2.06
O 0.5000 0.0000 0.5000  2 Au 2.06
F 0.5000 0.5000 0.0000  2 Au 2.13

=====

DFT (GGA-PBE) results for SiAu2OF after structural relaxation.

Properties
crystal system	tetragonal
size of the total moment	0.0	Bohr magnetons per cell
ΔE_f (raw)	0.07	eV/atom
DOS(E_F)	3.75	states/eV/cell

Lattice parameters (Å, degrees): 4.7708 4.7708 3.7076 90.00 90.00 90.00
Closest atoms and distances in Å follow each position.
Positions (direct):
Si 0.0000 0.0000 0.0000  2 F 1.85
Au 0.0000 0.5000 0.0000  2 Si 2.39
Au 0.5000 0.0000 0.0000  2 Si 2.39
O 0.5000 0.5000 0.5000  8 Au 3.02, 4 F 3.37
F 0.0000 0.0000 0.5000  2 Si 1.85